# 1
Crystalline YMgRu2 at its relaxed geometry. Source: the Alexandria database, functional GGA-PBE.

Lattice parameters (Å, degrees): 5.6517 5.6517 5.6517 147.04 132.06 59.40
Element x y z (fractional)
Y1 0.0000 0.0000 0.0000
Mg1 0.2802 0.7802 0.5000
Ru1 0.5237 0.5237 0.0000
Ru2 0.7394 0.2394 0.5000

Output
- energy (eV/atom) = -6.71
- DFT formation energy (kJ per mole of atoms) = -5.2

# 2
Crystalline Y5Mg4Ru at its relaxed geometry. Source: the Alexandria database, functional GGA-PBE.

Lattice parameters (Å, degrees): 3.6056 3.6056 19.8739 90.00 90.00 90.00
Element x y z (fractional)
Y1 0.0000 0.0000 0.0000
Y2 0.0000 0.0000 0.2060
Y3 0.0000 0.0000 0.4193
Y4 0.0000 0.0000 0.5807
Y5 0.0000 0.0000 0.7940
Mg1 0.5000 0.5000 0.1029
Mg2 0.5000 0.5000 0.3092
Mg3 0.5000 0.5000 0.6908
Mg4 0.5000 0.5000 0.8971
Ru1 0.5000 0.5000 0.5000

Output
- energy (eV/atom) = -4.96
- DFT formation energy (kJ per mole of atoms) = -16.0

# 3
Crystalline YMg2Ru at its relaxed geometry. Source: the Alexandria database, functional GGA-PBE.

Lattice parameters (Å, degrees): 5.9343 5.9343 5.9343 146.52 132.86 59.05
Element x y z (fractional)
Y1 0.0000 0.0000 0.0000
Mg1 0.2884 0.7884 0.5000
Mg2 0.7116 0.2116 0.5000
Ru1 0.5000 0.5000 0.0000

Output
- energy (eV/atom) = -4.89
- DFT formation energy (kJ per mole of atoms) = -15.0

# 4
Crystalline Y4MgRu2 at its relaxed geometry. Source: the Alexandria database, functional GGA-PBE.

Lattice parameters (Å, degrees): 6.8294 6.9820 8.0305 86.47 67.09 87.00
Element x y z (fractional)
Y1 0.0000 0.0000 0.0000
Y2 0.0162 0.4444 0.1257
Y3 0.2816 0.4090 0.5178
Y4 0.3211 0.9398 0.5404
Y5 0.4647 0.8923 0.0812
Y6 0.5366 0.3679 0.0670
Y7 0.7592 0.2918 0.5802
Y8 0.8712 0.8272 0.4418
Mg1 0.4205 0.6237 0.7789
Mg2 0.8939 0.6476 0.8109
Ru1 0.1554 0.1424 0.2970
Ru2 0.3595 0.2019 0.8333
Ru3 0.6318 0.6395 0.3086
Ru4 0.6612 0.1393 0.2967

Output
- energy (eV/atom) = -6.76
- DFT formation energy (kJ per mole of atoms) = -17.8

# 5
Crystalline YMgZn2Ru at its relaxed geometry. Source: the Alexandria database, functional GGA-PBE.

Lattice parameters (Å, degrees): 5.2659 5.2659 5.6996 90.00 90.00 90.00
Element x y z (fractional)
Y1 0.0000 0.0000 0.0000
Mg1 0.0000 0.0000 0.5000
Zn1 0.0000 0.5000 0.0000
Zn2 0.5000 0.0000 0.0000
Ru1 0.5000 0.5000 0.5000

Output
- energy (eV/atom) = -2.29
- DFT formation energy (kJ per mole of atoms) = 162.8

# 6
Crystalline YMgZnRu at its relaxed geometry. Source: the Alexandria database, functional GGA-PBE.

Lattice parameters (Å, degrees): 4.7443 4.7443 4.7443 60.00 60.00 60.00
Element x y z (fractional)
Y1 0.0000 0.0000 0.0000
Mg1 0.5000 0.5000 0.5000
Zn1 0.2500 0.2500 0.2500
Ru1 0.7500 0.7500 0.7500

Output
- energy (eV/atom) = -4.80
- DFT formation energy (kJ per mole of atoms) = -14.1

# 7
Crystalline Y4MgZnRu2 at its relaxed geometry. Source: the Alexandria database, functional GGA-PBE.

Lattice parameters (Å, degrees): 8.6454 8.6454 8.6454 33.48 33.48 33.48
Element x y z (fractional)
Y1 0.1222 0.1222 0.1222
Y2 0.3726 0.3726 0.3726
Y3 0.6274 0.6274 0.6274
Y4 0.8778 0.8778 0.8778
Mg1 0.5000 0.5000 0.5000
Zn1 0.0000 0.0000 0.0000
Ru1 0.2480 0.2480 0.2480
Ru2 0.7520 0.7520 0.7520

Output
- energy (eV/atom) = -6.19
- DFT formation energy (kJ per mole of atoms) = -26.8

# 8
Crystalline Y4MgZn2Ru at its relaxed geometry. Source: the Alexandria database, functional GGA-PBE.

Lattice parameters (Å, degrees): 8.7864 8.7864 8.7864 33.57 33.57 33.57
Element x y z (fractional)
Y1 0.1145 0.1145 0.1145
Y2 0.3673 0.3673 0.3673
Y3 0.6327 0.6327 0.6327
Y4 0.8855 0.8855 0.8855
Mg1 0.5000 0.5000 0.5000
Zn1 0.2406 0.2406 0.2406
Zn2 0.7594 0.7594 0.7594
Ru1 0.0000 0.0000 0.0000

Output
- energy (eV/atom) = -5.23
- DFT formation energy (kJ per mole of atoms) = -30.5